(1)
A plane-wave DFT calculation with PBE-GGA was carried out for a relaxed structure of Dy3ZnIn2PdPt2.

Calculated values
theoretical density	11.12	Mg/m³
size of the total moment	0.02	μB per formula unit
calculated total energy	-0.3779	Ry/atom
SG	Amm2 (38)

a = 3.8221 Å, b = 7.5841 Å, c = 7.5841 Å
α = 119.65°, β = 90.00°, γ = 90.00°
Sites, in units of the cell vectors:
1 Dy 0.0000 0.4254 0.4254
2 Dy 0.0000 0.9936 0.5929
3 Dy 0.0000 0.5929 0.9936
4 In 0.5000 0.2558 0.0058
5 In 0.5000 0.0058 0.2558
6 Pd 0.0000 0.9798 0.9798
7 Pt 0.5000 0.6697 0.3376
8 Pt 0.5000 0.3376 0.6697
9 Zn 0.5000 0.7393 0.7393

(2)
A plane-wave DFT calculation with PBE-GGA was carried out for a relaxed structure of CsErO3.

Calculated values
theoretical density	6.37	Mg/m³
size of the total moment	0.00	μB per formula unit
calculated total energy	-0.4232	Ry/atom
SG	Pnma (62)

a = 5.0743 Å, b = 6.0034 Å, c = 11.9210 Å
α = 90.00°, β = 90.00°, γ = 90.00°
Sites, in units of the cell vectors:
1 Cs 0.5000 0.0000 0.0000
2 Cs 0.0000 0.5000 0.0000
3 Cs 0.5000 0.0000 0.5000
4 Cs 0.0000 0.5000 0.5000
5 Er 0.9462 0.1078 0.2500
6 Er 0.5538 0.6078 0.2500
7 Er 0.4462 0.3922 0.7500
8 Er 0.0538 0.8922 0.7500
9 O 0.7248 0.3548 0.1294
10 O 0.7752 0.8548 0.1294
11 O 0.2863 0.3268 0.2500
12 O 0.2137 0.8268 0.2500
13 O 0.7248 0.3548 0.3706
14 O 0.7752 0.8548 0.3706
15 O 0.2248 0.1452 0.6294
16 O 0.2752 0.6452 0.6294
17 O 0.7863 0.1732 0.7500
18 O 0.7137 0.6732 0.7500
19 O 0.2248 0.1452 0.8706
20 O 0.2752 0.6452 0.8706